Record 1
## Ac2LaHg4 (PBE)

Data for crystalline Ac2LaHg4 at its relaxed geometry.

The magnetization is 0.0 μB/f.u. The formation energy from the elements is -0.36 eV per atom.

a b c (Å): 5.480 5.480 9.830
angles (deg): 73.81 73.81 60.00
Atoms (fractional coordinates):
Ac (0.757, 0.757, 0.730)
Ac (0.243, 0.243, 0.270)
Hg (0.876, 0.876, 0.371)
Hg (0.124, 0.124, 0.629)
Hg (0.629, 0.629, 0.112)
Hg (0.371, 0.371, 0.888)
La (0.000, 0.000, 0.000)

---

Record 2
## Ac4La3Hg (PBE)

Data for crystalline Ac4La3Hg at its relaxed geometry.

The magnetization is 0.0 μB/f.u. The formation energy from the elements is -0.10 eV per atom.

a b c (Å): 3.945 3.945 20.197
angles (deg): 90.00 90.00 90.00
Atoms (fractional coordinates):
Ac (0.000, 0.000, 0.897)
Ac (0.000, 0.000, 0.103)
Ac (0.000, 0.000, 0.368)
Ac (0.000, 0.000, 0.632)
Hg (0.500, 0.500, 0.000)
La (0.500, 0.500, 0.237)
La (0.500, 0.500, 0.500)
La (0.500, 0.500, 0.763)

---

Record 3
## Ac6LaHg5 (PBE)

Data for crystalline Ac6LaHg5 at its relaxed geometry.

The magnetization is 0.0 μB/f.u. The formation energy from the elements is -0.34 eV per atom.

a b c (Å): 5.670 8.277 9.182
angles (deg): 90.00 72.02 90.00
Atoms (fractional coordinates):
Ac (0.826, 0.749, 0.348)
Ac (0.826, 0.251, 0.348)
Ac (0.500, 0.275, 0.000)
Ac (0.500, 0.725, 0.000)
Ac (0.174, 0.749, 0.652)
Ac (0.174, 0.251, 0.652)
Hg (0.668, 0.500, 0.663)
Hg (0.349, 0.000, 0.301)
Hg (0.000, 0.500, 0.000)
Hg (0.651, 0.000, 0.699)
Hg (0.332, 0.500, 0.337)
La (0.000, 0.000, 0.000)

---

Record 4
## AcLa5Hg4 (PBE)

Data for crystalline AcLa5Hg4 at its relaxed geometry.

The magnetization is 1.1 μB/f.u. The formation energy from the elements is -0.40 eV per atom.

a b c (Å): 3.912 3.912 20.851
angles (deg): 90.00 90.00 90.00
Site moments in Bohr magnetons follow the coordinates.
Atoms (fractional coordinates):
Ac (0.000, 0.000, 0.000)  0.00
La (0.500, 0.500, 0.126)  -0.01
La (0.500, 0.500, 0.314)  -0.15
La (0.500, 0.500, 0.500)  -0.16
La (0.500, 0.500, 0.686)  -0.15
La (0.500, 0.500, 0.874)  -0.01
Hg (0.000, 0.000, 0.218)  -0.01
Hg (0.000, 0.000, 0.407)  -0.01
Hg (0.000, 0.000, 0.593)  -0.01
Hg (0.000, 0.000, 0.782)  -0.01

---

Record 5
## Ac3La6Hg (PBE)

Data for crystalline Ac3La6Hg at its relaxed geometry.

The magnetization is 0.0 μB/f.u. The formation energy from the elements is 0.00 eV per atom.

a b c (Å): 5.749 20.495 14.337
angles (deg): 153.53 90.00 90.00
Atoms (fractional coordinates):
Ac (0.250, 0.178, 0.551)
Ac (0.750, 0.822, 0.449)
Ac (0.250, 0.526, 0.457)
Ac (0.750, 0.474, 0.543)
Ac (0.250, 0.767, 0.556)
Ac (0.750, 0.233, 0.444)
La (0.250, 0.553, 0.786)
La (0.750, 0.447, 0.214)
La (0.250, 0.918, 0.032)
La (0.750, 0.082, 0.968)
La (0.250, 0.117, 0.845)
La (0.750, 0.883, 0.155)
La (0.250, 0.886, 0.344)
La (0.750, 0.114, 0.656)
La (0.250, 0.564, 0.049)
La (0.750, 0.436, 0.951)
La (0.250, 0.203, 0.221)
La (0.750, 0.797, 0.779)
Hg (0.250, 0.371, 0.005)
Hg (0.750, 0.629, 0.995)

---

Record 6
## AcLa3Hg (PBE)

Data for crystalline AcLa3Hg at its relaxed geometry.

The magnetization is 0.0 μB/f.u. The formation energy from the elements is -0.20 eV per atom. As for the energy above the most stable polymorph in this dataset: 0 meV per atom.

a b c (Å): 3.902 9.134 10.365
angles (deg): 103.03 100.84 89.96
Atoms (fractional coordinates):
Ac (0.818, 0.075, 0.896)
Ac (0.013, 0.150, 0.279)
La (0.620, 0.941, 0.497)
La (0.210, 0.283, 0.678)
La (0.417, 0.408, 0.093)
La (0.227, 0.729, 0.713)
La (0.414, 0.817, 0.082)
La (0.603, 0.495, 0.462)
Hg (0.021, 0.689, 0.299)
Hg (0.809, 0.536, 0.876)